(1)
## DyLuHg2 (GGA-PBEsol)

Data for a relaxed DyLuHg2 crystal.

a = 5.118 Å, b = 5.118 Å, c = 5.118 Å
α = 60.00°, β = 60.00°, γ = 60.00°
Sites, in units of the cell vectors:
Lu 0.000 0.000 0.000
Hg 0.750 0.750 0.750
Hg 0.250 0.250 0.250
Dy 0.500 0.500 0.500

calculated volume = 94.77 Å³/cell
ΔE_f = -2.30 eV/f.u.

=====

(2)
## CrTe2Ir (GGA-PBEsol)

Data for a relaxed CrTe2Ir crystal.

a = 3.929 Å, b = 4.816 Å, c = 4.816 Å
α = 104.80°, β = 90.00°, γ = 90.00°
Sites, in units of the cell vectors:
Te 0.000 0.776 0.224
Te 0.000 0.224 0.776
Cr 0.500 0.500 0.500
Ir 0.500 0.000 0.000

formation energy (no corrections) = 432 meV per atom
calculated volume = 88.12 Å³/cell

=====

(3)
## InHO2 (GGA-PBEsol)

Data for a relaxed InHO2 crystal.

a = 5.323 Å, b = 5.323 Å, c = 5.323 Å
α = 90.00°, β = 90.00°, γ = 90.00°
Sites, in units of the cell vectors:
O 0.869 0.369 0.131
O 0.869 0.131 0.631
O 0.131 0.631 0.869
O 0.131 0.869 0.369
O 0.631 0.631 0.631
O 0.369 0.131 0.869
O 0.369 0.369 0.369
O 0.631 0.869 0.131
In 0.000 0.500 0.500
In 0.500 0.500 0.000
In 0.500 0.000 0.500
In 0.000 0.000 0.000
H 0.000 0.500 0.000
H 0.500 0.000 0.000
H 0.500 0.500 0.500
H 0.000 0.000 0.500

E = -5.604 eV per atom
calculated volume = 150.79 Å³/cell

=====

(4)
## Al2SbClF (GGA-PBEsol)

Data for a relaxed Al2SbClF crystal.

a = 5.019 Å, b = 5.398 Å, c = 5.398 Å
α = 90.00°, β = 90.00°, γ = 90.00°
Sites, in units of the cell vectors:
Sb 0.500 0.000 0.000
Al 0.000 0.500 0.000
Al 0.000 0.000 0.500
Cl 0.000 0.000 0.000
F 0.500 0.500 0.500

formation energy (no corrections) = 473 meV per atom
calculated volume = 146.25 Å³/cell

=====

(5)
## Zr2TlIn (GGA-PBEsol)

Data for a relaxed Zr2TlIn crystal.

a = 4.224 Å, b = 4.224 Å, c = 5.754 Å
α = 111.53°, β = 111.53°, γ = 90.00°
Sites, in units of the cell vectors:
In 0.500 0.500 0.000
Zr 0.750 0.250 0.500
Zr 0.000 0.000 0.000
Tl 0.250 0.750 0.500

calculated volume = 87.77 Å³/cell
distance to the lowest polymorph of the same formula = 0.039 eV/atom
ΔE_f = -0.96 eV/f.u.

=====

(6)
## KBeFe2 (GGA-PBEsol)

Data for a relaxed KBeFe2 crystal.

a = 2.578 Å, b = 3.146 Å, c = 7.311 Å
α = 90.00°, β = 89.88°, γ = 90.00°
Sites, in units of the cell vectors:
Fe 0.005 0.000 0.001
Fe 0.503 0.500 0.146
K 0.987 0.000 0.499
Be 0.505 0.500 0.854

calculated volume = 59.29 Å³/cell
ΔE_f = 2.71 eV/f.u.